A geometry-optimized GaB2As structure, computed with PBE.

Calculated values
**Formation energy from the elements**: 0.281 eV/atom
**Total magnetization**: 0.0000 μB per atom
**Calculated volume**: 14.25 Å³/atom
**Relative energy among the computed polymorphs**: 0.0666 eV per atom
**Fermi-level density of states**: 0.943 states/eV/f.u.

The structure in POSCAR format:
```
GaB2As
1.0
-2.634 -0.799 -1.473
1.766 -1.743 -2.212
-0.423 -4.462 3.178
As B Ga
1 2 1
Cartesian
-1.320 -0.434 -0.712
0.728 -2.501 0.055
-0.536 -2.341 -1.080
-0.266 -2.806 1.999
```